[1]
# PBE Ac2MgH8, relaxed
data_Ac2MgH8
_symmetry_space_group_name_H-M 'I m m 2'
_symmetry_Int_Tables_number 44
_cell_length_a 5.216
_cell_length_b 11.819
_cell_length_c 4.212
_cell_angle_alpha 90.00
_cell_angle_beta 90.00
_cell_angle_gamma 90.00
loop_
_symmetry_equiv_pos_as_xyz
'x,y,z'
'-x,-y,z'
'-x,y,z'
'x,-y,z'
'x+1/2,y+1/2,z+1/2'
'-x+1/2,-y+1/2,z+1/2'
'-x+1/2,y+1/2,z+1/2'
'x+1/2,-y+1/2,z+1/2'
loop_
_atom_site_label
_atom_site_type_symbol
_atom_site_fract_x
_atom_site_fract_y
_atom_site_fract_z
Ac1 Ac 0.000 0.173 0.000
Mg1 Mg 0.000 0.500 0.111
H1 H 0.000 0.296 0.496
H2 H 0.242 0.369 0.002
H3 H 0.249 0.500 0.474
# - Electronic total energy: -3.77 eV per atom

[2]
# PBE AcMgMnH6, relaxed
data_AcMgMnH6
_symmetry_space_group_name_H-M 'P -6 m 2'
_symmetry_Int_Tables_number 187
_symmetry_space_group_name_Hall 'P -6 2'
_cell_length_a 4.7174
_cell_length_b 4.7174
_cell_length_c 4.6809
_cell_angle_alpha 90.00
_cell_angle_beta 90.00
_cell_angle_gamma 120.00
loop_
_atom_site_label
_atom_site_type_symbol
_atom_site_fract_x
_atom_site_fract_y
_atom_site_fract_z
Ac1 Ac 0.0000 0.0000 0.0000
Mg1 Mg 0.3333 0.6667 0.5000
Mn1 Mn 0.6667 0.3333 0.5000
H1 H 0.5225 0.0450 0.2488
# - Electronic total energy: -4.20 eV per atom

[3]
# PBE AcMgNi4H6, relaxed
data_AcMgNi4H6
_symmetry_space_group_name_H-M 'P 6/m m m'
_symmetry_Int_Tables_number 191
_symmetry_space_group_name_Hall '-P 6 2'
_cell_length_a 4.4857
_cell_length_b 4.4857
_cell_length_c 6.9487
_cell_angle_alpha 90.00
_cell_angle_beta 90.00
_cell_angle_gamma 120.00
loop_
_atom_site_label
_atom_site_type_symbol
_atom_site_fract_x
_atom_site_fract_y
_atom_site_fract_z
Ac1 Ac 0.0000 0.0000 0.0000
Mg1 Mg 0.0000 0.0000 0.5000
Ni1 Ni 0.3333 0.6667 0.3281
H1 H 0.0000 0.5000 0.1890
# - Electronic total energy: -4.38 eV per atom

[4]
# PBE AcMgNiH6, relaxed
data_AcMgNiH6
_symmetry_space_group_name_H-M 'P -6 m 2'
_symmetry_Int_Tables_number 187
_symmetry_space_group_name_Hall 'P -6 2'
_cell_length_a 4.7003
_cell_length_b 4.7003
_cell_length_c 4.7072
_cell_angle_alpha 90.00
_cell_angle_beta 90.00
_cell_angle_gamma 120.00
loop_
_atom_site_label
_atom_site_type_symbol
_atom_site_fract_x
_atom_site_fract_y
_atom_site_fract_z
Ac1 Ac 0.0000 0.0000 0.0000
Mg1 Mg 0.3333 0.6667 0.5000
Ni1 Ni 0.6667 0.3333 0.5000
H1 H 0.5185 0.0371 0.2457
# - Electronic total energy: -3.78 eV per atom

Which value of electronic total energy does entry 2 give?
-4.20 eV per atom